Entry 1:
Density functional theory data (SCAN) for PmNdRu2 at its PBEsol-relaxed geometry.

The energy of formation from the pure elements is -0.152 eV/atom. The value obtained for the total magnetic moment is 0.000 μB/atom.

The space group is Fm-3m (No. 225) and the conventional cell measures 6.880, 6.880 and 6.880 Å, with angles of 90.00, 90.00 and 90.00 degrees. The inequivalent atoms are Pm at (0.000, 0.000, 0.000), Nd at (0.000, 0.000, 0.500) and Ru at (0.250, 0.250, 0.250).

Entry 2:
Density functional theory data (SCAN) for PmNdTl2 at its PBEsol-relaxed geometry.

The energy of formation from the pure elements is -0.602 eV/atom. The value obtained for the total magnetic moment is 0.002 μB/atom.

The space group is Fm-3m (No. 225) and the conventional cell measures 7.641, 7.641 and 7.641 Å, with angles of 90.00, 90.00 and 90.00 degrees. The inequivalent atoms are Pm at (0.000, 0.000, 0.000), Nd at (0.000, 0.000, 0.500) and Tl at (0.250, 0.250, 0.250).

Entry 3:
Density functional theory data (SCAN) for PrNd at its PBEsol-relaxed geometry.

The energy of formation from the pure elements is -0.002 eV/atom. For the offset from the most stable computed form, the calculation gives 0 meV per atom. The value obtained for the total magnetic moment is 0.005 μB/atom.

The space group is P6_3/mmc (No. 194) and the conventional cell measures 3.6296, 3.6296 and 11.7070 Å, with angles of 90.00, 90.00 and 120.00 degrees. The inequivalent atoms are Pr at (0.0000, 0.0000, 0.0000) and Nd at (0.3333, 0.6667, 0.2500).